[1]
DFT (PBE) results for a relaxed structure of NaNiP2Os.

```
NaNiP2Os
1.0
-0.7049 -3.3533 1.8583
3.7298 -1.0370 -0.4563
-0.3803 4.3595 3.6341
Na Ni P Os
1 1 2 1
Direct
0.0000 0.0000 0.0000
0.2500 0.7500 0.5000
0.6240 0.6240 0.2480
0.3760 0.3760 0.7520
0.7500 0.2500 0.5000
```

As for the mass density: 7.33 g/cm3. The value obtained for the total energy is -6.227 eV/atom.



[2]
DFT (PBE) results for a relaxed structure of LaTc2Ru.

```
LaTc2Ru
1.0
3.7239 0.0000 0.0000
0.0000 2.8489 0.1598
0.0000 2.5306 7.2056
La Ru Tc
1 1 2
Direct
0.5000 0.2500 0.2500
0.5000 0.7500 0.7500
0.0000 0.0653 0.9291
0.0000 0.4347 0.5709
```

The calculation puts the energy above the lowest structure with this stoichiometry at 0.116 eV per atom. As for the mass density: 9.66 g/cm3. The value obtained for the total energy is -8.375 eV/atom.



no.,energy relative to the elements (eV/atom)
1,-0.40
2,0.36